! PBE-GGA MnReBr2, relaxed; values from VASP
&SYSTEM
  ibrav = 0, nat = 4, ntyp = 3
/
ATOMIC_SPECIES
Br 79.90 Br.upf
Mn 54.94 Mn.upf
Re 186.21 Re.upf
CELL_PARAMETERS angstrom
3.2158 0.0092 0.0000
-1.6308 2.7716 0.0000
0.0000 0.0000 9.8490
ATOMIC_POSITIONS angstrom
Br 0.0000 0.0000 9.1759
Br 0.7925 1.3904 3.2096
Mn 0.0000 0.0000 5.1468
Re 0.7925 1.3904 7.0902
! - Offset from the most stable computed form: 263 meV per atom
! - Space-group type: Cmm2, No. 35

---

! PBE-GGA Nd3ZnNi, relaxed; values from VASP
&SYSTEM
  ibrav = 0, nat = 10, ntyp = 3
/
ATOMIC_SPECIES
Nd 144.24 Nd.upf
Zn 65.41 Zn.upf
Ni 58.69 Ni.upf
CELL_PARAMETERS angstrom
-4.0656 -2.3343 3.8135
1.5752 0.5777 5.8057
-4.6614 6.1450 4.2162
ATOMIC_POSITIONS angstrom
Nd -4.9048 4.8764 6.7598
Nd -2.2470 -0.4880 7.0755
Nd -3.6285 4.5514 3.6213
Nd -3.5232 -0.1629 10.2140
Nd -4.9267 2.9214 9.6796
Nd -2.2250 1.4670 4.1557
Zn -4.6866 1.6208 6.5254
Zn -2.4651 2.7676 7.3099
Ni -0.1260 -0.3005 5.2049
Ni -2.3645 -1.4561 4.4143
! - E_form: -0.205 eV/atom
! - Offset from the most stable computed form: 0 meV per atom
! - Space-group type: C2/m, No. 12

---

! PBE-GGA Mg5Ni6Ir, relaxed; values from VASP
&SYSTEM
  ibrav = 0, nat = 12, ntyp = 3
/
ATOMIC_SPECIES
Ni 58.69 Ni.upf
Mg 24.30 Mg.upf
Ir 192.22 Ir.upf
CELL_PARAMETERS angstrom
-1.9564 -3.3374 7.6560
4.1590 -2.0959 1.1317
3.3349 2.4366 2.4056
ATOMIC_POSITIONS angstrom
Ni 1.7340 -4.1127 6.6061
Ni -0.0589 -1.8979 6.6052
Ni 3.0638 -1.3086 3.3582
Ni 5.5964 -1.0989 4.5881
Ni 2.4737 -1.6882 7.8351
Ni 0.4685 -1.3207 2.1816
Mg 1.9352 -0.4021 5.6159
Mg 4.9961 0.2277 2.3585
Mg 2.4977 0.1129 1.1788
Mg 1.1013 -2.7167 4.3939
Mg 3.6023 -2.5947 5.5774
Ir 0.0000 0.0000 0.0000
! - E_form: -0.011 eV/atom
! - Space-group type: C2/m, No. 12

---

no.,total DFT energy (no corrections) (eV for the cell shown)
1,-23.1
2,-44.8
3,-51.6